Entry from the Alexandria database: crystalline FeAsRu2 at its relaxed geometry (PBE).

Summary:
The density of states at the Fermi level is 4.4 states/eV/cell. The value obtained for the formation enthalpy at 0 K is 0.184 eV per atom. Its total magnetization is 3.31 μB/cell. The value obtained for the density is 9.74 Mg/m³.

Geometry as POSCAR:
```
FeAsRu2
1.0
1.433 0.827 7.977
-1.433 0.827 7.977
0.000 -1.655 7.977
Fe As Ru
1 1 2
Direct
0.000 0.000 0.000
0.500 0.500 0.500
0.248 0.248 0.248
0.752 0.752 0.752
```